# 1
## NbIO2F (GGA-PBEsol)

Data for an optimized crystal structure of NbIO2F.

## Properties
Space group: P4/mmm

a b c (Å): 4.043 4.043 4.377
angles (deg): 90.00 90.00 90.00
Atoms (fractional coordinates):
Nb 0.000 0.000 0.000
I 0.500 0.500 0.500
O 0.000 0.500 0.000
O 0.500 0.000 0.000
F 0.000 0.000 0.500


# 2
## NbIO2F (GGA-PBEsol)

Data for an optimized crystal structure of NbIO2F.

## Properties
Space group: P4/mmm

a b c (Å): 3.986 3.986 5.567
angles (deg): 90.00 90.00 90.00
Atoms (fractional coordinates):
Nb 0.000 0.000 0.000
I 0.500 0.500 0.500
O 0.000 0.500 0.500
O 0.500 0.000 0.500
F 0.500 0.500 0.000


Formation energy (no corrections) values (in meV per atom) by entry order: -1446, 350.
Volume values (in Å³ per atom) by entry order: 14.31, 17.69.
D(E_F) values (in states/eV/cell) by entry order: 3.72, 3.91.